No. 1
Compound: PrDySiRh
Source: Alexandria via LeMat-Bulk
Functional: PBE
Structure: relaxed

Structure (extended XYZ):
```
4
Lattice="4.273 0.000 0.000 0.000 4.114 0.000 -2.137 0.000 5.283" Properties=species:S:1:pos:R:3 pbc="T T T"
Pr 0.000 0.000 1.549
Dy 2.137 2.057 3.849
Si 2.137 2.057 0.668
Rh 0.000 0.000 4.501
```

## Properties
As for the energy: -6.3156 eV/atom. The density of states at the Fermi level comes out at 0.91 states/eV/atom. Its space group is Amm2, No. 38. The formation energy (no corrections) comes out at -0.777 eV per atom. The spin magnetization is 0.000 Bohr magnetons per cell.

---

No. 2
Compound: PrDySnRh
Source: Alexandria via LeMat-Bulk
Functional: PBE
Structure: relaxed

Structure (extended XYZ):
```
4
Lattice="-3.454 -3.839 -0.684 0.737 -4.610 2.312 -3.083 -1.462 3.937" Properties=species:S:1:pos:R:3 pbc="T T T"
Pr -4.350 -7.434 4.173
Rh 0.000 0.000 0.000
Sn -2.900 -4.956 2.782
Dy -1.450 -2.478 1.391
```

## Properties
For the energy of formation, the calculation gives -0.5783 eV per atom. As for the energy: -5.7623 eV/atom. The density of states at the Fermi level comes out at 0.69 states/eV/atom. Its space group is F-43m, No. 216. The spin magnetization is 0.000 Bohr magnetons per cell.

---

No. 3
Compound: PrDyTh2Rh4
Source: Alexandria via LeMat-Bulk
Functional: PBE
Structure: relaxed

Structure (extended XYZ):
```
8
Lattice="5.756 0.503 0.000 -0.126 5.776 0.000 -2.815 -3.139 5.632" Properties=species:S:1:pos:R:3 pbc="T T T"
Pr 5.246 5.850 0.000
Dy 2.840 3.167 0.000
Th -0.572 2.320 2.816
Th 2.369 -0.317 2.816
Rh 0.044 2.419 0.000
Rh 2.399 0.306 0.000
Rh -0.541 -0.603 3.035
Rh 2.274 2.536 2.597
```

## Properties
For the energy of formation, the calculation gives -0.7512 eV per atom. As for the energy: -7.4546 eV/atom. The density of states at the Fermi level comes out at 0.70 states/eV/atom. Its space group is Fmm2, No. 42. The spin magnetization is 0.000 Bohr magnetons per cell.

---

No. 4
Compound: PrDyZnRh
Source: Alexandria via LeMat-Bulk
Functional: PBE
Structure: relaxed

Structure (extended XYZ):
```
4
Lattice="-3.216 0.351 3.872 -1.871 -4.182 2.113 1.469 -1.361 4.631" Properties=species:S:1:pos:R:3 pbc="T T T"
Pr -2.713 -3.894 7.962
Zn -1.809 -2.596 5.308
Rh 0.000 0.000 0.000
Dy -0.904 -1.298 2.654
```

## Properties
For the energy of formation, the calculation gives -0.5146 eV per atom. As for the energy: -5.0163 eV/atom. For the energy above the most stable polymorph in this dataset, the calculation gives 23 meV per atom. The density of states at the Fermi level comes out at 0.52 states/eV/atom. Its space group is F-43m, No. 216. The spin magnetization is 0.000 Bohr magnetons per cell.

---

No. 5
Compound: PrDyZnRh
Source: Alexandria via LeMat-Bulk
Functional: PBE
Structure: relaxed

Structure (extended XYZ):
```
4
Lattice="-0.596 0.489 -3.893 1.864 -3.929 -0.778 -4.533 -2.624 2.388" Properties=species:S:1:pos:R:3 pbc="T T T"
Pr -1.387 -0.683 0.127
Dy -2.878 -3.450 -2.015
Zn -0.030 -2.048 -2.275
Rh -4.099 -2.019 0.374
```

## Properties
For the energy of formation, the calculation gives -0.5373 eV per atom. As for the energy: -5.0390 eV/atom. For the energy above the most stable polymorph in this dataset, the calculation gives 0 meV per atom. The density of states at the Fermi level comes out at 0.81 states/eV/atom. Its space group is Amm2, No. 38. The spin magnetization is 0.000 Bohr magnetons per cell.

---

No. 6
Compound: PrDyRu
Source: Alexandria via LeMat-Bulk
Functional: PBE
Structure: relaxed

Structure (extended XYZ):
```
12
Lattice="-2.556 -3.448 -0.822 6.741 -4.204 -3.325 1.832 -3.213 7.777" Properties=species:S:1:pos:R:3 pbc="T T T"
Pr 5.019 -6.805 1.319
Pr 4.419 -4.377 4.616
Pr 4.153 -3.040 -0.163
Pr 0.997 -4.060 2.311
Dy 4.932 -5.948 -2.002
Dy 1.085 -4.917 5.632
Dy 1.372 -1.114 0.407
Dy 7.200 -6.303 4.045
Ru 1.397 -3.574 -0.968
Ru 6.832 -5.033 -0.132
Ru 1.741 -2.384 4.584
Ru 4.619 -7.291 4.598
```

## Properties
For the energy of formation, the calculation gives -0.1724 eV per atom. As for the energy: -6.3915 eV/atom. For the energy above the most stable polymorph in this dataset, the calculation gives 48 meV per atom. The density of states at the Fermi level comes out at 0.70 states/eV/atom. Its space group is P4_2/m, No. 84. The spin magnetization is 0.000 Bohr magnetons per cell.

---

No. 7
Compound: Pr3DyRu
Source: Alexandria via LeMat-Bulk
Functional: PBE
Structure: relaxed

Structure (extended XYZ):
```
5
Lattice="5.564 0.000 0.000 0.000 5.564 0.000 0.000 0.000 5.564" Properties=species:S:1:pos:R:3 pbc="T T T"
Pr 0.000 2.782 0.000
Pr 0.000 0.000 2.782
Pr 2.782 0.000 0.000
Ru 0.000 0.000 0.000
Dy 2.782 2.782 2.782
```

## Properties
For the energy of formation, the calculation gives 0.0733 eV per atom. As for the energy: -5.5699 eV/atom. The density of states at the Fermi level comes out at 1.70 states/eV/atom. Its space group is Pm-3m, No. 221. The spin magnetization is 0.001 Bohr magnetons per cell.

---

No. 8
Compound: PrDyRu
Source: Alexandria via LeMat-Bulk
Functional: PBE
Structure: relaxed

Structure (extended XYZ):
```
3
Lattice="-1.194 1.257 2.996 -3.161 0.286 -1.381 0.728 -6.989 1.224" Properties=species:S:1:pos:R:3 pbc="T T T"
Pr -0.110 -0.473 0.155
Ru -2.677 -1.369 1.507
Dy -0.840 -3.604 1.177
```

## Properties
For the energy of formation, the calculation gives -0.2204 eV per atom. As for the energy: -6.4395 eV/atom. For the energy above the most stable polymorph in this dataset, the calculation gives 0 meV per atom. The density of states at the Fermi level comes out at 0.61 states/eV/atom. Its space group is I4mm, No. 107. The spin magnetization is 0.000 Bohr magnetons per cell.

---

No. 9
Compound: PrDyRu
Source: Alexandria via LeMat-Bulk
Functional: PBE
Structure: relaxed

Structure (extended XYZ):
```
3
Lattice="4.871 0.000 0.000 2.436 4.219 0.000 2.436 1.406 3.977" Properties=species:S:1:pos:R:3 pbc="T T T"
Pr 0.000 0.000 0.000
Ru 2.436 1.406 0.994
Dy 4.871 2.812 1.989
```

## Properties
For the energy of formation, the calculation gives -0.1846 eV per atom. As for the energy: -6.4038 eV/atom. For the energy above the most stable polymorph in this dataset, the calculation gives 36 meV per atom. The density of states at the Fermi level comes out at 0.63 states/eV/atom. Its space group is F-43m, No. 216. The spin magnetization is 0.000 Bohr magnetons per cell.

---

No. 10
Compound: PrDyRu2
Source: Alexandria via LeMat-Bulk
Functional: PBE
Structure: relaxed

Structure (extended XYZ):
```
4
Lattice="3.465 0.000 0.000 0.000 3.465 0.000 0.000 0.000 6.945" Properties=species:S:1:pos:R:3 pbc="T T T"
Pr 1.732 1.732 3.472
Ru 0.000 0.000 5.273
Ru 0.000 0.000 1.672
Dy 1.732 1.732 0.000
```

## Properties
For the energy of formation, the calculation gives -0.1553 eV per atom. As for the energy: -7.1386 eV/atom. The density of states at the Fermi level comes out at 1.22 states/eV/atom. Its space group is P4/mmm, No. 123. The spin magnetization is 0.000 Bohr magnetons per cell.

---

No. 11
Compound: Pr2DyU2Ru5
Source: Alexandria via LeMat-Bulk
Functional: PBE
Structure: relaxed

Structure (extended XYZ):
```
20
Lattice="-1.078 -2.875 -1.754 2.179 -6.156 8.754 -10.171 1.587 3.647" Properties=species:S:1:pos:R:3 pbc="T T T"
Pr -0.313 -3.879 6.553
Pr -7.680 -0.689 5.849
Pr -2.919 -0.565 2.720
Pr -5.074 -4.003 9.682
Dy 0.000 0.000 0.000
Dy -3.996 -2.284 6.201
U -6.173 0.172 3.510
U -1.820 -4.741 8.892
U -7.402 -2.543 8.719
U -0.590 -2.025 3.683
Ru -0.568 -2.695 1.202
Ru -8.502 -4.749 9.446
Ru -8.396 -0.499 2.412
Ru -3.560 -5.136 7.043
Ru -0.674 -6.945 8.237
Ru -5.510 -2.308 3.605
Ru -6.634 -3.681 6.548
Ru -2.436 -3.762 4.101
Ru 0.551 -4.515 3.500
Ru -5.624 -0.644 0.947
```

## Properties
For the energy of formation, the calculation gives -0.2098 eV per atom. As for the energy: -8.5214 eV/atom. The density of states at the Fermi level comes out at 0.74 states/eV/atom. Its space group is P4/mbm, No. 127. The spin magnetization is 0.000 Bohr magnetons per cell.

---

No. 12
Compound: PrDyS3
Source: Alexandria via LeMat-Bulk
Functional: PBE
Structure: relaxed

Structure (extended XYZ):
```
10
Lattice="-1.345 2.795 -2.503 -1.012 -5.493 -5.590 -7.268 -0.807 3.003" Properties=species:S:1:pos:R:3 pbc="T T T"
Pr -2.385 -1.555 -2.043
Pr -7.239 -1.950 -3.049
Dy -3.554 -4.246 -4.419
Dy -6.070 0.741 -0.672
S -4.454 -1.659 -4.220
S -5.170 -1.846 -0.871
S -8.420 -0.435 -0.723
S -6.185 -4.813 -3.639
S -1.204 -3.070 -4.368
S -3.439 1.308 -1.452
```

## Properties
As for the energy: -6.4084 eV/atom. For the energy above the most stable polymorph in this dataset, the calculation gives 24 meV per atom. Its space group is P2_1/m, No. 11. The formation energy (no corrections) comes out at -2.056 eV per atom. The spin magnetization is 0.000 Bohr magnetons per cell.